1.
The following is a DFT calculation (PBE) of RbH6I after structural relaxation.

Total moment: 0.0 Bohr magnetons per cell
VASP energy: -3.160 eV per atom

Cell lengths 12.0230, 12.0229, 16.6923 Å; angles 158.77, 158.77, 40.93 degrees
Element x y z (fractional)
H 0.6658 0.6658 0.2260
H 0.6949 0.3820 0.5294
H 0.3342 0.3342 0.7740
H 0.3820 0.6949 0.5294
I 0.0000 0.0000 0.0000
H 0.6180 0.3051 0.4706
Rb 0.0000 0.0000 0.5000
H 0.3051 0.6180 0.4706

---

2.
The following is a DFT calculation (PBE) of Rb3H2I after structural relaxation.

Total moment: 0.0 Bohr magnetons per cell
VASP energy: -2.394 eV per atom

Cell lengths 8.2616, 8.6143, 8.6143 Å; angles 53.57, 61.35, 61.35 degrees
Element x y z (fractional)
H 0.3579 0.4215 0.4215
Rb 0.5000 0.7602 0.2398
H 0.7009 0.0785 0.0785
Rb 0.0000 0.7398 0.2602
H 0.6421 0.5785 0.5785
I 0.1210 0.2500 0.2500
H 0.2991 0.9215 0.9215
Rb 0.5000 0.5000 0.0000
Rb 0.5000 0.0000 0.5000
Rb 0.0000 0.2602 0.7398
Rb 0.5000 0.2398 0.7602
I 0.8790 0.7500 0.7500

---

3.
The following is a DFT calculation (PBE) of RbH3I after structural relaxation.

Total moment: 1.9 Bohr magnetons per cell
VASP energy: -2.630 eV per atom

Cell lengths 7.4349, 7.4349, 6.2702 Å; angles 90.00, 90.00, 142.14 degrees
Element x y z (fractional)
I 0.3996 0.6004 0.7500
H 0.2740 0.7260 0.2500
H 0.7260 0.2740 0.7500
Rb 0.1164 0.8836 0.7500
H 0.2794 0.7206 0.0961
H 0.2794 0.7206 0.4039
H 0.7206 0.2794 0.5961
I 0.6004 0.3996 0.2500
Rb 0.8836 0.1164 0.2500
H 0.7206 0.2794 0.9039

---

4.
The following is a DFT calculation (PBE) of Rb4HI3 after structural relaxation.

Total moment: 0.1 Bohr magnetons per cell
VASP energy: -2.606 eV per atom

Cell lengths 5.1186, 8.8466, 8.8466 Å; angles 109.16, 90.00, 90.00 degrees
Element x y z (fractional)
I 0.0000 0.5000 0.0000
I 0.5000 0.5000 0.5000
Rb 0.5000 0.2315 0.7685
H 0.5000 0.0000 0.0000
Rb 0.5000 0.7685 0.2315
Rb 0.0000 0.7698 0.7698
Rb 0.0000 0.2302 0.2302
I 0.0000 0.0000 0.5000